Entry 1:
DFT (PBE) results for Gd2H2BrCl3 after structural relaxation.

Cell and atoms, written as CIF:
```
data_Gd2H2BrCl3
_chemical_formula_sum 'Gd2 H2 Br1 Cl3'
_space_group_name_H-M_alt 'P 3 m 1'
_space_group_IT_number 156
_cell_length_a 3.8078
_cell_length_b 3.8078
_cell_length_c 13.9576
_cell_angle_alpha 90.00
_cell_angle_beta 90.00
_cell_angle_gamma 120.00
loop_
_space_group_symop_operation_xyz
'x,y,z'
'-y,x-y,z'
'-x+y,-x,z'
'-y,-x,z'
'-x+y,y,z'
'x,x-y,z'
loop_
_atom_site_label
_atom_site_type_symbol
_atom_site_fract_x
_atom_site_fract_y
_atom_site_fract_z
_atom_site_occupancy
Gd1 Gd 0.0000 0.0000 0.0000 1
Gd2 Gd 0.0000 0.0000 0.4951 1
H1 H 0.3333 0.6667 0.4968 1
H2 H 0.6667 0.3333 0.9997 1
Br1 Br 0.6667 0.3333 0.6345 1
Cl1 Cl 0.3333 0.6667 0.1257 1
Cl2 Cl 0.3333 0.6667 0.8742 1
Cl3 Cl 0.6667 0.3333 0.3703 1
```

- energy (eV/atom) = -4.626

***

Entry 2:
DFT (PBE) results for Gd2BrClO2 after structural relaxation.

Cell and atoms, written as CIF:
```
data_Gd2BrClO2
_chemical_formula_sum 'Gd2 Br1 Cl1 O2'
_space_group_name_H-M_alt 'P 4 m m'
_space_group_IT_number 99
_cell_length_a 3.859
_cell_length_b 3.859
_cell_length_c 8.071
_cell_angle_alpha 90.00
_cell_angle_beta 90.00
_cell_angle_gamma 90.00
loop_
_space_group_symop_operation_xyz
'x,y,z'
'-y,x,z'
'-x,-y,z'
'y,-x,z'
'-x,y,z'
'y,x,z'
'x,-y,z'
'-y,-x,z'
loop_
_atom_site_label
_atom_site_type_symbol
_atom_site_fract_x
_atom_site_fract_y
_atom_site_fract_z
_atom_site_occupancy
Gd1 Gd 0.000 0.000 0.000 1
Gd2 Gd 0.500 0.500 0.290 1
Br1 Br 0.500 0.500 0.793 1
Cl1 Cl 0.000 0.000 0.468 1
O1 O 0.000 0.500 0.144 1
```

- energy (eV/atom) = -6.781

***

Entry 3:
DFT (PBE) results for Gd2SbBrCl after structural relaxation.

Cell and atoms, written as CIF:
```
data_Gd2SbBrCl
_chemical_formula_sum 'Gd2 Sb1 Br1 Cl1'
_space_group_name_H-M_alt 'P 3 m 1'
_space_group_IT_number 156
_cell_length_a 4.2330
_cell_length_b 4.2330
_cell_length_c 10.7395
_cell_angle_alpha 90.00
_cell_angle_beta 90.00
_cell_angle_gamma 120.00
loop_
_space_group_symop_operation_xyz
'x,y,z'
'-y,x-y,z'
'-x+y,-x,z'
'-y,-x,z'
'-x+y,y,z'
'x,x-y,z'
loop_
_atom_site_label
_atom_site_type_symbol
_atom_site_fract_x
_atom_site_fract_y
_atom_site_fract_z
_atom_site_occupancy
Gd1 Gd 0.0000 0.0000 0.0000 1
Gd2 Gd 0.3333 0.6667 0.3303 1
Sb1 Sb 0.6667 0.3333 0.1651 1
Br1 Br 0.0000 0.0000 0.4922 1
Cl1 Cl 0.3333 0.6667 0.8580 1
```

- energy (eV/atom) = -4.965

***

> energy of number 2 (Gd2BrClO2)?

-6.781 eV/atom

***

> Which formula does entry 3 have?

Gd2SbBrCl

***

> The highest energy belongs to which entry?

Gd2H2BrCl3